1.
Material: ScHg2Br
Method: DFT, PBE
State: relaxed

Calculated values
Uncorrected formation energy, eV per atom: -0.315
Space group: Pmmm, No. 47
Relative energy among the computed polymorphs, meV/atom: 214
E_tot, eV/atom: -2.47

The structure in CIF format:
```
data_ScHg2Br
_cell_length_a 3.5020
_cell_length_b 4.8614
_cell_length_c 5.7096
_cell_angle_alpha 90.00
_cell_angle_beta 90.00
_cell_angle_gamma 90.00
_symmetry_space_group_name_H-M 'P 1'
_symmetry_Int_Tables_number 1
_symmetry_space_group_name_Hall 'P 1'
loop_
_atom_site_label
_atom_site_type_symbol
_atom_site_fract_x
_atom_site_fract_y
_atom_site_fract_z
Br1 Br 0.0000 0.5000 0.5000
Hg1 Hg 0.0000 0.0000 0.0000
Hg2 Hg 0.5000 0.5000 0.0000
Sc1 Sc 0.5000 0.0000 0.5000
```

2.
Material: NaSmPu2S4
Method: DFT, PBE
State: relaxed

Calculated values
Uncorrected formation energy, eV per atom: -1.746
Space group: P2/m, No. 10
E_tot, eV/atom: -8.15

The structure in CIF format:
```
data_NaSmPu2S4
_cell_length_a 4.0071
_cell_length_b 6.9276
_cell_length_c 6.9449
_cell_angle_alpha 70.55
_cell_angle_beta 90.00
_cell_angle_gamma 90.00
_symmetry_space_group_name_H-M 'P 1'
_symmetry_Int_Tables_number 1
_symmetry_space_group_name_Hall 'P 1'
loop_
_atom_site_label
_atom_site_type_symbol
_atom_site_fract_x
_atom_site_fract_y
_atom_site_fract_z
Na1 Na 0.0000 0.5000 0.5000
Sm1 Sm 0.5000 0.5000 0.0000
Pu1 Pu 0.0000 0.0000 0.0000
Pu2 Pu 0.5000 0.0000 0.5000
S1 S 0.0000 0.7550 0.7497
S2 S 0.0000 0.2450 0.2503
S3 S 0.5000 0.7586 0.2430
S4 S 0.5000 0.2414 0.7570
```

3.
Material: SrMgNiPb2
Method: DFT, PBE
State: relaxed

Calculated values
ΔE_f, eV per atom: 0.7414
Space group: P4/mmm, No. 123
E_tot, eV/atom: -2.55

The structure in CIF format:
```
data_SrMgNiPb2
_cell_length_a 5.3457
_cell_length_b 6.0925
_cell_length_c 5.3457
_cell_angle_alpha 90.00
_cell_angle_beta 90.00
_cell_angle_gamma 90.00
_symmetry_space_group_name_H-M 'P 1'
_symmetry_Int_Tables_number 1
_symmetry_space_group_name_Hall 'P 1'
loop_
_atom_site_label
_atom_site_type_symbol
_atom_site_fract_x
_atom_site_fract_y
_atom_site_fract_z
Pb1 Pb 0.0000 0.0000 0.5000
Pb2 Pb 0.5000 0.0000 0.0000
Sr1 Sr 0.0000 0.5000 0.0000
Mg1 Mg 0.0000 0.0000 0.0000
Ni1 Ni 0.5000 0.5000 0.5000
```

4.
Material: ZrB2P
Method: DFT, PBE
State: relaxed

Calculated values
ΔE_f, eV per atom: -0.0292
Space group: I-42d, No. 122
E_tot, eV/atom: -6.86

The structure in CIF format:
```
data_ZrB2P
_cell_length_a 5.7904
_cell_length_b 5.7904
_cell_length_c 5.0728
_cell_angle_alpha 55.20
_cell_angle_beta 55.20
_cell_angle_gamma 90.00
_symmetry_space_group_name_H-M 'P 1'
_symmetry_Int_Tables_number 1
_symmetry_space_group_name_Hall 'P 1'
loop_
_atom_site_label
_atom_site_type_symbol
_atom_site_fract_x
_atom_site_fract_y
_atom_site_fract_z
P1 P 0.5000 0.5000 0.0000
P2 P 0.2500 0.7500 0.5000
B1 B 0.5550 0.1250 0.2500
B2 B 0.1950 0.6250 0.2500
B3 B 0.3750 0.4450 0.7500
B4 B 0.8750 0.8050 0.7500
Zr1 Zr 0.0000 0.0000 0.0000
Zr2 Zr 0.7500 0.2500 0.5000
```

5.
Material: KAgBPb2
Method: DFT, PBE
State: relaxed

Calculated values
ΔE_f, eV per atom: 0.7175
Space group: P4/mmm, No. 123
E_tot, eV/atom: -2.89

The structure in CIF format:
```
data_KAgBPb2
_cell_length_a 5.8873
_cell_length_b 4.2523
_cell_length_c 5.8873
_cell_angle_alpha 90.00
_cell_angle_beta 90.00
_cell_angle_gamma 90.00
_symmetry_space_group_name_H-M 'P 1'
_symmetry_Int_Tables_number 1
_symmetry_space_group_name_Hall 'P 1'
loop_
_atom_site_label
_atom_site_type_symbol
_atom_site_fract_x
_atom_site_fract_y
_atom_site_fract_z
Pb1 Pb 0.0000 0.0000 0.5000
Pb2 Pb 0.5000 0.0000 0.0000
K1 K 0.5000 0.5000 0.5000
B1 B 0.0000 0.5000 0.0000
Ag1 Ag 0.0000 0.0000 0.0000
```

6.
Material: KTeCS2
Method: DFT, PBE
State: relaxed

Calculated values
Uncorrected formation energy, eV per atom: 2.580
Space group: P4/mmm, No. 123
E_tot, eV/atom: -1.76

The structure in CIF format:
```
data_KTeCS2
_cell_length_a 5.2221
_cell_length_b 6.4669
_cell_length_c 5.2221
_cell_angle_alpha 90.00
_cell_angle_beta 90.00
_cell_angle_gamma 90.00
_symmetry_space_group_name_H-M 'P 1'
_symmetry_Int_Tables_number 1
_symmetry_space_group_name_Hall 'P 1'
loop_
_atom_site_label
_atom_site_type_symbol
_atom_site_fract_x
_atom_site_fract_y
_atom_site_fract_z
C1 C 0.5000 0.5000 0.5000
K1 K 0.0000 0.0000 0.0000
Te1 Te 0.0000 0.5000 0.0000
S1 S 0.0000 0.0000 0.5000
S2 S 0.5000 0.0000 0.0000
```

7.
Material: Ce5CoPb2
Method: DFT, PBE
State: relaxed

Calculated values
ΔE_f, eV per atom: -0.2915
Space group: Pbam, No. 55
Relative energy among the computed polymorphs, meV/atom: 0
E_tot, eV/atom: -5.82

The structure in CIF format:
```
data_Ce5CoPb2
_cell_length_a 4.6539
_cell_length_b 7.7723
_cell_length_c 12.4940
_cell_angle_alpha 90.00
_cell_angle_beta 90.00
_cell_angle_gamma 90.00
_symmetry_space_group_name_H-M 'P 1'
_symmetry_Int_Tables_number 1
_symmetry_space_group_name_Hall 'P 1'
loop_
_atom_site_label
_atom_site_type_symbol
_atom_site_fract_x
_atom_site_fract_y
_atom_site_fract_z
Ce1 Ce 0.0000 0.0000 0.5000
Ce2 Ce 0.0000 0.5000 0.0000
Ce3 Ce 0.0000 0.8996 0.1826
Ce4 Ce 0.0000 0.1004 0.8174
Ce5 Ce 0.0000 0.6004 0.6826
Ce6 Ce 0.0000 0.3996 0.3174
Ce7 Ce 0.5000 0.7127 0.4445
Ce8 Ce 0.5000 0.2873 0.5555
Ce9 Ce 0.5000 0.7873 0.9445
Ce10 Ce 0.5000 0.2127 0.0555
Co1 Co 0.0000 0.5000 0.5000
Co2 Co 0.0000 0.0000 0.0000
Pb1 Pb 0.5000 0.5994 0.1807
Pb2 Pb 0.5000 0.4006 0.8193
Pb3 Pb 0.5000 0.9006 0.6807
Pb4 Pb 0.5000 0.0994 0.3193
```

8.
Material: Ca2Mg2Zn
Method: DFT, PBE
State: relaxed

Calculated values
ΔE_f, eV per atom: 0.1325
Space group: Cmmm, No. 65
Relative energy among the computed polymorphs, meV/atom: 262
E_tot, eV/atom: -1.56

The structure in CIF format:
```
data_Ca2Mg2Zn
_cell_length_a 5.0087
_cell_length_b 5.0087
_cell_length_c 7.3524
_cell_angle_alpha 90.00
_cell_angle_beta 90.00
_cell_angle_gamma 116.84
_symmetry_space_group_name_H-M 'P 1'
_symmetry_Int_Tables_number 1
_symmetry_space_group_name_Hall 'P 1'
loop_
_atom_site_label
_atom_site_type_symbol
_atom_site_fract_x
_atom_site_fract_y
_atom_site_fract_z
Ca1 Ca 0.5000 0.5000 0.2531
Ca2 Ca 0.5000 0.5000 0.7469
Mg1 Mg 0.1678 0.8322 0.0000
Mg2 Mg 0.8322 0.1678 0.0000
Zn1 Zn 0.0000 0.0000 0.5000
```

9.
Material: PmPr2SmSe4
Method: DFT, PBE
State: relaxed

Calculated values
Uncorrected formation energy, eV per atom: -1.834
Space group: P2/m, No. 10
E_tot, eV/atom: -5.96

The structure in CIF format:
```
data_PmPr2SmSe4
_cell_length_a 4.1737
_cell_length_b 7.3739
_cell_length_c 7.3272
_cell_angle_alpha 71.14
_cell_angle_beta 90.00
_cell_angle_gamma 90.00
_symmetry_space_group_name_H-M 'P 1'
_symmetry_Int_Tables_number 1
_symmetry_space_group_name_Hall 'P 1'
loop_
_atom_site_label
_atom_site_type_symbol
_atom_site_fract_x
_atom_site_fract_y
_atom_site_fract_z
Pm1 Pm 0.5000 0.5000 0.0000
Pr1 Pr 0.0000 0.0000 0.0000
Pr2 Pr 0.5000 0.0000 0.5000
Sm1 Sm 0.0000 0.5000 0.5000
Se1 Se 0.0000 0.7432 0.7513
Se2 Se 0.0000 0.2568 0.2487
Se3 Se 0.5000 0.7425 0.2536
Se4 Se 0.5000 0.2575 0.7464
```

10.
Material: KAs2Se
Method: DFT, PBE
State: relaxed

Calculated values
Uncorrected formation energy, eV per atom: -0.190
Space group: Pmm2, No. 25
E_tot, eV/atom: -3.66

The structure in CIF format:
```
data_KAs2Se
_cell_length_a 3.9025
_cell_length_b 2.9408
_cell_length_c 8.5192
_cell_angle_alpha 89.98
_cell_angle_beta 90.00
_cell_angle_gamma 90.00
_symmetry_space_group_name_H-M 'P 1'
_symmetry_Int_Tables_number 1
_symmetry_space_group_name_Hall 'P 1'
loop_
_atom_site_label
_atom_site_type_symbol
_atom_site_fract_x
_atom_site_fract_y
_atom_site_fract_z
As1 As 0.0000 0.0001 0.0155
As2 As 0.5000 0.0001 0.2151
K1 K 0.0000 0.5006 0.5059
Se1 Se 0.5000 0.9993 0.7635
```

11.
Material: Pr3Al2Pt3
Method: DFT, PBE
State: relaxed

Calculated values
ΔE_f, eV per atom: -0.8809
Space group: P6_3/mcm, No. 193
E_tot, eV/atom: -5.87

The structure in CIF format:
```
data_Pr3Al2Pt3
_cell_length_a 5.7995
_cell_length_b 8.4706
_cell_length_c 8.4706
_cell_angle_alpha 120.00
_cell_angle_beta 90.00
_cell_angle_gamma 90.00
_symmetry_space_group_name_H-M 'P 1'
_symmetry_Int_Tables_number 1
_symmetry_space_group_name_Hall 'P 1'
loop_
_atom_site_label
_atom_site_type_symbol
_atom_site_fract_x
_atom_site_fract_y
_atom_site_fract_z
Pr1 Pr 0.7500 0.2710 0.0000
Pr2 Pr 0.7500 0.7290 0.7290
Pr3 Pr 0.7500 0.0000 0.2710
Pr4 Pr 0.2500 0.7290 0.0000
Pr5 Pr 0.2500 0.2710 0.2710
Pr6 Pr 0.2500 0.0000 0.7290
Al1 Al 0.0000 0.3333 0.6667
Al2 Al 0.5000 0.6667 0.3333
Al3 Al 0.0000 0.6667 0.3333
Al4 Al 0.5000 0.3333 0.6667
Pt1 Pt 0.7500 0.6018 0.0000
Pt2 Pt 0.7500 0.3982 0.3982
Pt3 Pt 0.7500 0.0000 0.6018
Pt4 Pt 0.2500 0.3982 0.0000
Pt5 Pt 0.2500 0.6018 0.6018
Pt6 Pt 0.2500 0.0000 0.3982
```

> Among the records above, which one has the highest E_tot?

Ca2Mg2Zn

> Which of these has the lowest E_tot?

NaSmPu2S4